VASP calculation (PBE) on an optimized crystal structure of Pm2TaB2N6.

a b c (Å): 5.291 5.291 6.069
angles (deg): 64.16 64.16 60.00
Atoms (fractional coordinates):
Pm: 0.783 0.783 0.652
Pm: 0.217 0.217 0.348
Ta: 0.000 0.000 0.000
B: 0.418 0.418 0.746
B: 0.582 0.582 0.254
N: 0.742 0.742 0.248
N: 0.268 0.742 0.248
N: 0.742 0.268 0.248
N: 0.258 0.732 0.752
N: 0.732 0.258 0.752
N: 0.258 0.258 0.752

Results
symmetry = R-3m (166)

---

VASP calculation (PBE) on an optimized crystal structure of BaSnI6.

a b c (Å): 8.505 8.672 8.041
angles (deg): 110.03 109.16 111.84
Atoms (fractional coordinates):
Ba: 0.000 0.000 0.000
Sn: 0.500 0.000 0.000
I: 0.804 0.013 0.322
I: 0.482 0.691 0.678
I: 0.518 0.309 0.322
I: 0.196 0.987 0.678
I: 0.189 0.703 0.000
I: 0.811 0.297 0.000

Results
energy relative to the lowest polymorph listed for this composition = 0.0 kJ/mol of atoms
symmetry = C2/m (12)

---

VASP calculation (PBE) on an optimized crystal structure of TaAgAu2.

a b c (Å): 4.860 4.860 5.518
angles (deg): 82.82 82.82 33.84
Atoms (fractional coordinates):
Au: 0.997 0.997 0.008
Au: 0.503 0.503 0.492
Ag: 0.750 0.750 0.750
Ta: 0.250 0.250 0.250

Results
formation enthalpy at 0 K = 52 kJ/mol of formula units
symmetry = C2/m (12)

---

VASP calculation (PBE) on an optimized crystal structure of Sm2GaGe2.

a b c (Å): 4.227 5.964 10.095
angles (deg): 80.23 77.91 69.24
Atoms (fractional coordinates):
Sm: 0.704 0.244 0.348
Sm: 0.903 0.284 0.909
Sm: 0.296 0.756 0.652
Sm: 0.097 0.716 0.091
Ga: 0.544 0.206 0.706
Ga: 0.456 0.794 0.294
Ge: 0.064 0.301 0.571
Ge: 0.651 0.829 0.870
Ge: 0.936 0.699 0.429
Ge: 0.349 0.171 0.130

Results
formation enthalpy at 0 K = -352 kJ/mol of formula units
symmetry = C2/m (12)

---

VASP calculation (PBE) on an optimized crystal structure of ReSiTc3.

a b c (Å): 4.748 4.748 7.005
angles (deg): 103.10 103.10 100.17
Atoms (fractional coordinates):
Re: 0.803 0.303 0.516
Re: 0.197 0.697 0.484
Si: 0.828 0.672 0.000
Si: 0.172 0.328 0.000
Tc: 0.287 0.787 0.891
Tc: 0.713 0.213 0.109
Tc: 0.225 0.111 0.294
Tc: 0.389 0.275 0.706
Tc: 0.775 0.889 0.706
Tc: 0.611 0.725 0.294

Results
energy relative to the lowest polymorph listed for this composition = 0.0 kJ/mol of atoms
symmetry = C2/m (12)

---

VASP calculation (PBE) on an optimized crystal structure of MnZnSe3.

a b c (Å): 4.725 4.725 4.725
angles (deg): 90.00 90.00 90.00
Atoms (fractional coordinates):
Zn: 0.500 0.500 0.500
Mn: 0.000 0.000 0.000
Se: 0.000 0.500 0.000
Se: 0.000 0.000 0.500
Se: 0.500 0.000 0.000

Results
energy relative to the lowest polymorph listed for this composition = 0.0 kJ/mol of atoms
symmetry = Pm-3m (221)

---

VASP calculation (PBE) on an optimized crystal structure of Tb4AgPdAu2.

a b c (Å): 5.093 5.093 8.814
angles (deg): 73.21 73.21 60.00
Atoms (fractional coordinates):
Tb: 0.378 0.378 0.865
Tb: 0.872 0.872 0.384
Tb: 0.128 0.128 0.616
Tb: 0.622 0.622 0.135
Ag: 0.000 0.000 0.000
Pd: 0.500 0.500 0.500
Au: 0.745 0.745 0.764
Au: 0.255 0.255 0.236

Results
formation enthalpy at 0 K = -559 kJ/mol of formula units
symmetry = R-3m (166)

---

VASP calculation (PBE) on an optimized crystal structure of Dy6Ag5Bi.

a b c (Å): 5.197 7.321 9.054
angles (deg): 113.85 106.63 90.00
Atoms (fractional coordinates):
Bi: 0.000 0.000 0.000
Ag: 0.671 0.171 0.342
Ag: 0.334 0.334 0.668
Ag: 0.000 0.500 0.000
Ag: 0.666 0.666 0.332
Ag: 0.329 0.829 0.658
Dy: 0.829 0.574 0.658
Dy: 0.829 0.084 0.658
Dy: 0.500 0.740 0.000
Dy: 0.500 0.260 0.000
Dy: 0.171 0.916 0.342
Dy: 0.171 0.426 0.342

Results
formation enthalpy at 0 K = -422 kJ/mol of formula units
symmetry = C2/m (12)

---

Number 1: mass density 7.53 g cm⁻³, electronic total energy -8.780 eV per atom. Number 2: mass density 3.83 g cm⁻³, electronic total energy -2.712 eV per atom. Number 3: mass density 15.76 g cm⁻³, electronic total energy -5.179 eV per atom. Number 4: mass density 7.40 g cm⁻³, electronic total energy -5.070 eV per atom. Number 5: mass density 11.61 g cm⁻³, electronic total energy -9.851 eV per atom. Number 6: mass density 5.62 g cm⁻³, electronic total energy -3.818 eV per atom. Number 7: mass density 11.07 g cm⁻³, electronic total energy -4.864 eV per atom. Number 8: mass density 9.56 g cm⁻³, electronic total energy -4.177 eV per atom.